Record 1
Entry from the Alexandria database: a geometry-optimized Ce4Ho3Si4 structure (PBE-GGA).

Output
Electronic total energy in eV/atom: -5.8789
Magnetization in μB/atom: 0.19
Fermi-level density of states in states/eV per atom: 1.622
Formation energy from raw total energies in eV per atom: -0.50
V in A^3/atom: 24.51

Lattice parameters (Å, degrees): 3.648 8.552 17.286 90.00 90.00 90.00
Space group Immm (No. 71)
Asymmetric unit:
Ce: 0.000 0.163 0.171 (multiplicity 8)
Ho: 0.000 0.000 0.406 (multiplicity 4)
Ho: 0.000 0.500 0.500 (multiplicity 2)
Si: 0.000 0.277 0.000 (multiplicity 4)
Si: 0.000 0.500 0.221 (multiplicity 4)

Record 2
Entry from the Alexandria database: a geometry-optimized GaGeN2O structure (PBE-GGA).

Output
Electronic total energy in eV/atom: -5.0129
Magnetization in μB/atom: 0.60
Fermi-level density of states in states/eV per atom: 0.347
Formation energy from raw total energies in eV per atom: 0.84
V in A^3/atom: 12.33

Lattice parameters (Å, degrees): 3.970 3.970 3.913 90.00 90.00 90.00
Space group P4/mmm (No. 123)
Asymmetric unit:
Ga: 0.000 0.000 0.000 (multiplicity 1)
Ge: 0.500 0.500 0.500 (multiplicity 1)
N: 0.000 0.500 0.000 (multiplicity 2)
O: 0.000 0.000 0.500 (multiplicity 1)

Record 3
Entry from the Alexandria database: a geometry-optimized Dy4Ni2Pb structure (PBE-GGA).

Output
Electronic total energy in eV/atom: -5.0521
Magnetization in μB/atom: 0.00
E_form in eV/atom: -0.24
Fermi-level density of states in states/eV per atom: 0.818
V in A^3/atom: 25.62

Lattice parameters (Å, degrees): 4.6780 4.6780 28.3938 90.00 90.00 120.00
Space group R-3m (No. 166, hexagonal axes)
Asymmetric unit:
Dy: 0.0000 0.0000 0.1107 (multiplicity 6)
Dy: 0.0000 0.0000 0.2992 (multiplicity 6)
Ni: 0.0000 0.0000 0.3991 (multiplicity 6)
Pb: 0.0000 0.0000 0.5000 (multiplicity 3)